RbLuO3: optimized geometry, PBE-GGA.

abc: 6.1149 6.1886 8.6979
angles: 90.00 90.00 90.00
Each line ends with the local moment (μB).
Element x y z (fractional)
Lu: 0.5000 0.0000 0.0000  -0.07
Lu: 0.0000 0.5000 0.0000  -0.07
Lu: 0.5000 0.0000 0.5000  -0.07
Lu: 0.0000 0.5000 0.5000  -0.07
O: 0.7451 0.2553 0.0025  0.56
O: 0.7549 0.7553 0.0025  0.55
O: 0.4950 0.0046 0.2500  0.56
O: 0.0050 0.5046 0.2500  0.56
O: 0.7451 0.2553 0.4975  0.57
O: 0.7549 0.7553 0.4975  0.55
O: 0.2451 0.2447 0.5025  0.55
O: 0.2549 0.7447 0.5025  0.57
O: 0.9950 0.4954 0.7500  0.56
O: 0.5050 0.9954 0.7500  0.56
O: 0.2451 0.2447 0.9975  0.55
O: 0.2549 0.7447 0.9975  0.56
Rb: 0.9995 0.0021 0.2500  0.00
Rb: 0.5005 0.5021 0.2500  0.00
Rb: 0.4995 0.4979 0.7500  0.00
Rb: 0.0005 0.9979 0.7500  0.00

Calculated values
- raw total energy (eV for the cell shown) = -120.20
- mass density (Mg/m³) = 6.22